[1]
A relaxed FePdPt crystal, computed with PBE.

abc: 4.7770 8.1958 4.7936
angles: 90.00 111.08 90.00
Space group C2/c (No. 15)
Inequivalent atoms, fractional coordinates:
Fe (0.0000, 0.0920, 0.2500) x4
Pd (0.0000, 0.2402, 0.7500) x4
Pt (0.0000, 0.4226, 0.2500) x4

## Properties
Calculated formation energy, meV per atom: -155
Crystal system: monoclinic
Total DFT energy (no corrections), eV/f.u.: -20.16

---

[2]
A relaxed CaPtW2 crystal, computed with PBE.

abc: 2.7748 2.7748 9.3884
angles: 90.00 90.00 90.00
Space group P4/mmm (No. 123)
Inequivalent atoms, fractional coordinates:
Ca (0.0000, 0.0000, 0.0000) x1
Pt (0.0000, 0.0000, 0.5000) x1
W (0.5000, 0.5000, 0.2811) x2

## Properties
Calculated formation energy, meV per atom: 484
Crystal system: tetragonal
Total DFT energy (no corrections), eV/f.u.: -32.01

---

[3]
A relaxed LiNbGa2 crystal, computed with PBE.

abc: 6.0109 7.4400 2.8882
angles: 90.00 90.00 90.00
Space group Cmmm (No. 65)
Inequivalent atoms, fractional coordinates:
Li (0.0000, 0.0000, 0.0000) x2
Nb (0.0000, 0.5000, 0.0000) x2
Ga (0.2500, 0.2500, 0.5000) x4

## Properties
Calculated formation energy, meV per atom: -311
Crystal system: orthorhombic
Total DFT energy (no corrections), eV/f.u.: -19.28

---

[4]
A relaxed ErTmPaO6 crystal, computed with PBE.

abc: 5.7122 5.7122 4.6740
angles: 90.00 90.00 120.00
Space group P312 (No. 149)
Inequivalent atoms, fractional coordinates:
Er (0.0000, 0.0000, 0.0000) x1
Tm (0.6667, 0.3333, 0.0000) x1
Pa (0.3333, 0.6667, 0.5000) x1
O (0.0101, 0.3453, 0.7564) x6

## Properties
Crystal system: trigonal
Formation energy from raw total energies, eV/atom: -3.27
Total DFT energy (no corrections), eV/f.u.: -77.67

---

[5]
A relaxed YHo4Tm3Se8 crystal, computed with PBE.

abc: 8.0859 8.0859 19.8421
angles: 90.00 90.00 120.00
Space group R-3m (No. 166, hexagonal axes)
Inequivalent atoms, fractional coordinates:
Y (0.0000, 0.0000, 0.0000) x3
Ho (0.0000, 0.0000, 0.5000) x3
Ho (0.0000, 0.5000, 0.5000) x9
Tm (0.0000, 0.5000, 0.0000) x9
Se (0.0000, 0.0000, 0.2514) x6
Se (0.0031, 0.5015, 0.2506) x18

## Properties
Crystal system: trigonal
Formation energy from raw total energies, eV/atom: -1.70
Total DFT energy (no corrections), eV/f.u.: -93.24

---

[6]
A relaxed Ce4Nd3Ga4 crystal, computed with PBE.

abc: 4.5481 8.1324 16.3667
angles: 90.00 90.00 90.00
Space group Immm (No. 71)
Inequivalent atoms, fractional coordinates:
Ce (0.0000, 0.1678, 0.1627) x8
Nd (0.0000, 0.0000, 0.3866) x4
Nd (0.0000, 0.5000, 0.5000) x2
Ga (0.0000, 0.3326, 0.0000) x4
Ga (0.0000, 0.5000, 0.2545) x4

## Properties
Calculated formation energy, meV per atom: -300
Crystal system: orthorhombic
Total DFT energy (no corrections), eV/f.u.: -53.45

---

[7]
A relaxed NiBi2TeAs crystal, computed with PBE.

abc: 5.4880 5.4880 5.4443
angles: 90.00 90.00 90.00
Space group P4/mmm (No. 123)
Inequivalent atoms, fractional coordinates:
Ni (0.0000, 0.0000, 0.0000) x1
Bi (0.0000, 0.5000, 0.5000) x2
Te (0.5000, 0.5000, 0.0000) x1
As (0.5000, 0.5000, 0.5000) x1

## Properties
Crystal system: tetragonal
Formation energy from raw total energies, eV/atom: 1.04
Total DFT energy (no corrections), eV/f.u.: -16.12

---

[8]
A relaxed SrPd4Pt crystal, computed with PBE.

abc: 7.8667 4.1818 7.0416
angles: 90.00 90.00 90.00
Space group Pmma (No. 51)
Inequivalent atoms, fractional coordinates:
Sr (0.2500, 0.0000, 0.1473) x2
Pd (0.0000, 0.0000, 0.5000) x2
Pd (0.0454, 0.5000, 0.7981) x4
Pd (0.2500, 0.5000, 0.4699) x2
Pt (0.2500, 0.0000, 0.7401) x2

## Properties
Calculated formation energy, meV per atom: -199
Crystal system: orthorhombic
Total DFT energy (no corrections), eV/f.u.: -29.69

---

Theoretical density (g/cm3)
13.554 13.848 6.153 8.338 8.367 6.979 6.878 10.156